(1)
A relaxed structure of Ca2HfBeRu. Source: Alexandria via LeMat-Bulk, functional GGA-PBEsol.

abc: 4.4169 5.4653 5.4653
angles: 90.00 90.00 90.00
Last column: nearest neighbours and their distance in Å.
Sites, in units of the cell vectors:
Ru 0.5000 0.5000 0.5000  8 Ca 3.51, 4 Be 3.86
Ca 0.0000 0.0000 0.5000  2 Hf 2.73
Ca 0.0000 0.5000 0.0000  2 Hf 2.73
Hf 0.0000 0.0000 0.0000  2 Be 2.21
Be 0.5000 0.0000 0.0000  2 Hf 2.21

Properties
DFT total energy	-19.18	eV/cell
energy relative to the elements	1.9524	eV/atom
symmetry	P4/mmm



(2)
A relaxed structure of CaHfBeZn2. Source: Alexandria via LeMat-Bulk, functional GGA-PBEsol.

abc: 4.5077 4.7467 4.7467
angles: 90.00 90.00 90.00
Last column: nearest neighbours and their distance in Å.
Sites, in units of the cell vectors:
Be 0.5000 0.0000 0.0000  2 Ca 2.25
Zn 0.0000 0.0000 0.5000  2 Ca 2.37
Zn 0.0000 0.5000 0.0000  2 Ca 2.37
Hf 0.5000 0.5000 0.5000  8 Zn 3.27, 4 Be 3.36
Ca 0.0000 0.0000 0.0000  2 Be 2.25, 4 Zn 2.37

Properties
DFT total energy	-12.93	eV/cell
energy relative to the elements	1.3748	eV/atom
symmetry	P4/mmm



(3)
A relaxed structure of Ca4BeHg. Source: Alexandria via LeMat-Bulk, functional GGA-PBEsol.

abc: 6.4449 6.4449 6.4449
angles: 60.00 60.00 60.00
Last column: nearest neighbours and their distance in Å.
Sites, in units of the cell vectors:
Be 0.0000 0.0000 0.0000  12 Ca 3.78, 4 Hg 3.95
Ca 0.3748 0.3748 0.3748  6 Ca 3.22-3.23
Ca 0.3748 0.3748 0.8755  6 Ca 3.22-3.23
Ca 0.8755 0.3748 0.3748  6 Ca 3.22-3.23
Ca 0.3748 0.8755 0.3748  6 Ca 3.22-3.23
Hg 0.7500 0.7500 0.7500  12 Ca 3.78, 4 Be 3.95

Properties
DFT total energy	-9.23	eV/cell
energy relative to the elements	0.6450	eV/atom
symmetry	F-43m



(4)
A relaxed structure of CaBe2Hg. Source: Alexandria via LeMat-Bulk, functional GGA-PBEsol.

abc: 4.0564 4.7841 4.7841
angles: 62.42 64.92 64.92
Last column: nearest neighbours and their distance in Å.
Sites, in units of the cell vectors:
Be 0.0650 0.9350 0.9350  2 Be 2.15
Be 0.6645 0.8355 0.8355  2 Be 2.15
Ca 0.4839 0.5161 0.5161  5 Be 2.79-3.04, 4 Hg 2.85-2.96
Hg 0.2866 0.2134 0.2134  5 Be 2.69-2.94, 4 Ca 2.85-2.96

Properties
DFT total energy	-9.76	eV/cell
energy relative to the elements	0.2340	eV/atom
symmetry	Imm2